1.
{
  "formula": "ErSnI5",
  "functional": "PBE",
  "state": "relaxed",
  "formation_energy_uncorrected_ev_per_atom": -0.949,
  "crystal_system": "monoclinic",
  "magnetic_moment_mub_per_fu": 0.000,
  "lattice": [[-3.480, -2.756, -0.225], [2.093, -1.927, -8.779], [8.389, -11.059, 5.705]],
  "species": ["I", "I", "I", "I", "Sn", "I", "Er", "I", "I", "Er", "I", "I", "Sn", "I"],
  "fractional_positions": [[0.250, 0.855, 0.071], [0.750, 0.324, 0.485], [0.750, 0.916, 0.683], [0.750, 0.644, 0.862], [0.750, 0.099, 0.133], [0.250, 0.676, 0.515], [0.250, 0.408, 0.351], [0.250, 0.084, 0.317], [0.750, 0.609, 0.298], [0.750, 0.592, 0.649], [0.750, 0.145, 0.929], [0.250, 0.391, 0.702], [0.250, 0.901, 0.867], [0.250, 0.356, 0.138]]
}

2.
{
  "formula": "SrIrPb2",
  "functional": "PBE",
  "state": "relaxed",
  "crystal_system": "tetragonal",
  "e_form_ev_per_atom": 0.0538,
  "magnetic_moment_mub_per_fu": 0.000,
  "lattice": [[3.730, 0.000, 0.000], [0.000, 3.730, 0.000], [0.000, 0.000, 7.790]],
  "species": ["Ir", "Pb", "Pb", "Sr"],
  "fractional_positions": [[0.500, 0.500, 0.802], [0.000, 0.000, 0.948], [0.500, 0.500, 0.214], [0.000, 0.000, 0.536]]
}

3.
{
  "formula": "Ba2Sr15Ac2",
  "functional": "PBE",
  "state": "relaxed",
  "crystal_system": "trigonal",
  "e_form_ev_per_atom": 0.1316,
  "magnetic_moment_mub_per_fu": 1.514,
  "lattice": [[7.865, -6.851, -0.409], [7.865, 6.851, -0.409], [2.447, 0.000, 10.148]],
  "species": ["Sr", "Ac", "Ac", "Sr", "Sr", "Sr", "Ba", "Sr", "Ba", "Sr", "Sr", "Sr", "Sr", "Sr", "Sr", "Sr", "Sr", "Sr", "Sr"],
  "fractional_positions": [[0.707, 0.000, 0.293], [0.907, 0.907, 0.907], [0.093, 0.093, 0.093], [0.852, 0.349, 0.349], [0.349, 0.349, 0.852], [0.148, 0.651, 0.651], [0.679, 0.679, 0.679], [0.651, 0.651, 0.148], [0.321, 0.321, 0.321], [0.000, 0.500, 0.000], [0.000, 0.293, 0.707], [0.000, 0.707, 0.293], [0.293, 0.000, 0.707], [0.349, 0.852, 0.349], [0.293, 0.707, 0.000], [0.651, 0.148, 0.651], [0.707, 0.293, 0.000], [0.000, 0.000, 0.500], [0.500, 0.000, 0.000]]
}

4.
{
  "formula": "PrHoMgAu",
  "functional": "PBE",
  "state": "relaxed",
  "relative_energy_mev_per_atom": 77,
  "crystal_system": "cubic",
  "e_form_ev_per_atom": -0.3738,
  "magnetic_moment_mub_per_fu": 0.000,
  "lattice": [[5.289, 0.000, 0.000], [2.645, 4.581, 0.000], [2.645, 1.527, 4.319]],
  "species": ["Pr", "Mg", "Au", "Ho"],
  "fractional_positions": [[0.500, 0.500, 0.500], [0.250, 0.250, 0.250], [0.750, 0.750, 0.750], [0.000, 0.000, 0.000]]
}

Number 1: volume 306.8 Å³/f.u.. Number 2: volume 108.4 Å³/f.u.. Number 3: volume 1107.5 Å³/f.u.. Number 4: volume 104.6 Å³/f.u..